Record 1
## TbBiO2 (PBE)

Data for a geometry-optimized TbBiO2 structure.

a b c (Å): 3.5449 3.5449 20.8944
angles (deg): 90.00 90.00 120.00
Space group R-3m (No. 166, hexagonal axes)
Asymmetric unit:
Tb  0.0000  0.0000  0.0000 [3 per cell]
Bi  0.0000  0.0000  0.5000 [3 per cell]
O  0.0000  0.0000  0.3851 [6 per cell]

## Properties
- V: 18.9 A^3/atom
- Uncorrected formation energy: -2.397 eV/atom

=====

Record 2
## Pm6Dy2Tm (PBE)

Data for a geometry-optimized Pm6Dy2Tm structure.

a b c (Å): 16.373 11.773 6.217
angles (deg): 90.00 96.03 90.00
Space group C2/c (No. 15)
Asymmetric unit:
Pm  0.047  0.141  0.013 [8 per cell]
Pm  0.118  0.359  0.320 [8 per cell]
Pm  0.213  0.359  0.848 [8 per cell]
Dy  0.167  0.099  0.582 [8 per cell]
Tm  0.000  0.401  0.750 [4 per cell]

## Properties
- V: 33.1 A^3/atom
- Energy above the most stable polymorph in this dataset: 0 meV per atom
- Energy of formation from the pure elements: 0.0847 eV per atom

=====

Record 3
## LaY3Tl (PBE)

Data for a geometry-optimized LaY3Tl structure.

a b c (Å): 6.242 6.613 8.838
angles (deg): 107.15 90.34 116.91
Space group P-1 (No. 2)
Asymmetric unit:
La  0.143  0.063  0.343 [2 per cell]
Y  0.085  0.316  0.055 [2 per cell]
Y  0.279  0.675  0.453 [2 per cell]
Y  0.438  0.088  0.846 [2 per cell]
Tl  0.341  0.515  0.761 [2 per cell]

## Properties
- V: 30.7 A^3/atom
- Energy above the most stable polymorph in this dataset: 0 meV per atom
- Energy of formation from the pure elements: -0.1469 eV per atom

=====

Record 4
## CaPmLu (PBE)

Data for a geometry-optimized CaPmLu structure.

a b c (Å): 3.6203 3.6203 9.0847
angles (deg): 90.00 90.00 120.00
Space group P3m1 (No. 156)
Asymmetric unit:
Ca  0.0000  0.0000  0.0000 [1 per cell]
Pm  0.6667  0.3333  0.3580 [1 per cell]
Lu  0.3333  0.6667  0.6609 [1 per cell]

## Properties
- V: 34.4 A^3/atom
- Energy above the most stable polymorph in this dataset: 6 meV per atom
- Energy of formation from the pure elements: 0.0743 eV per atom

=====

Record 5
## TaTcPb (PBE)

Data for a geometry-optimized TaTcPb structure.

a b c (Å): 4.6803 4.6803 2.9852
angles (deg): 90.00 90.00 120.00
Space group P3m1 (No. 156)
Asymmetric unit:
Ta  0.0000  0.0000  0.0000 [1 per cell]
Tc  0.3333  0.6667  0.3448 [1 per cell]
Pb  0.6667  0.3333  0.4870 [1 per cell]

## Properties
- V: 18.9 A^3/atom
- Energy above the most stable polymorph in this dataset: 220 meV per atom
- Energy of formation from the pure elements: 0.5297 eV per atom

=====

Record 6
## NaCeSO5 (PBE)

Data for a geometry-optimized NaCeSO5 structure.

a b c (Å): 8.174 9.269 8.041
angles (deg): 90.00 116.91 90.00
Space group C2/c (No. 15)
Asymmetric unit:
Na  0.000  0.169  0.250 [4 per cell]
Ce  0.000  0.500  0.000 [4 per cell]
S  0.000  0.151  0.750 [4 per cell]
O  0.000  0.407  0.250 [4 per cell]
O  0.045  0.243  0.624 [8 per cell]
O  0.158  0.054  0.863 [8 per cell]

## Properties
- V: 17.0 A^3/atom
- Uncorrected formation energy: -2.132 eV/atom

=====

Record 7
## SmDyYTh (PBE)

Data for a geometry-optimized SmDyYTh structure.

a b c (Å): 3.6069 3.6069 34.6231
angles (deg): 90.00 90.00 120.00
Space group R3m (No. 160, hexagonal axes)
Asymmetric unit:
Sm  0.0000  0.0000  0.0000 [3 per cell]
Dy  0.0000  0.0000  0.8307 [3 per cell]
Y  0.0000  0.0000  0.2481 [3 per cell]
Th  0.0000  0.0000  0.4157 [3 per cell]

## Properties
- V: 32.5 A^3/atom
- Energy above the most stable polymorph in this dataset: 0 meV per atom
- Energy of formation from the pure elements: 0.0101 eV per atom

=====

Record 8
## Pu3TeN2 (PBE)

Data for a geometry-optimized Pu3TeN2 structure.

a b c (Å): 9.292 9.578 5.582
angles (deg): 90.00 90.00 90.00
Space group Cmcm (No. 63)
Asymmetric unit:
Pu  0.000  0.118  0.250 [4 per cell]
Pu  0.216  0.377  0.250 [8 per cell]
Te  0.000  0.338  0.750 [4 per cell]
N  0.157  0.000  0.000 [8 per cell]

## Properties
- V: 20.7 A^3/atom
- Uncorrected formation energy: -0.971 eV/atom

=====

Record 9
## Sm4Tm4Mg (PBE)

Data for a geometry-optimized Sm4Tm4Mg structure.

a b c (Å): 6.649 8.369 10.733
angles (deg): 89.72 74.66 77.22
Space group P-1 (No. 2)
Asymmetric unit:
Sm  0.051  0.194  0.165 [2 per cell]
Sm  0.269  0.468  0.617 [2 per cell]
Sm  0.389  0.856  0.935 [2 per cell]
Sm  0.403  0.859  0.603 [2 per cell]
Tm  0.043  0.194  0.492 [2 per cell]
Tm  0.060  0.193  0.821 [2 per cell]
Tm  0.272  0.469  0.958 [2 per cell]
Tm  0.285  0.482  0.283 [2 per cell]
Mg  0.389  0.858  0.269 [2 per cell]

## Properties
- V: 31.2 A^3/atom
- Energy of formation from the pure elements: 0.0013 eV per atom

=====

Record 10
## SrHf2ZrC (PBE)

Data for a geometry-optimized SrHf2ZrC structure.

a b c (Å): 5.040 5.040 6.421
angles (deg): 90.00 90.00 90.00
Space group P4/mmm (No. 123)
Asymmetric unit:
Sr  0.000  0.000  0.000 [1 per cell]
Hf  0.000  0.500  0.500 [2 per cell]
Zr  0.000  0.000  0.500 [1 per cell]
C  0.500  0.500  0.000 [1 per cell]

## Properties
- V: 32.6 A^3/atom
- Energy of formation from the pure elements: 2.3263 eV per atom

=====

Record 11
## Li2MnHg (PBE)

Data for a geometry-optimized Li2MnHg structure.

a b c (Å): 4.500 4.500 6.545
angles (deg): 90.00 90.00 90.00
Space group I-4m2 (No. 119)
Asymmetric unit:
Li  0.000  0.000  0.000 [2 per cell]
Li  0.000  0.500  0.250 [2 per cell]
Mn  0.000  0.500  0.750 [2 per cell]
Hg  0.000  0.000  0.500 [2 per cell]

## Properties
- V: 16.6 A^3/atom
- Energy of formation from the pure elements: 0.0074 eV per atom

=====

Record 12
## KMnW2 (PBE)

Data for a geometry-optimized KMnW2 structure.

a b c (Å): 6.630 6.630 6.630
angles (deg): 90.00 90.00 90.00
Space group F-43m (No. 216)
Asymmetric unit:
K  0.000  0.000  0.000 [4 per cell]
Mn  0.250  0.250  0.750 [4 per cell]
W  0.000  0.000  0.500 [4 per cell]
W  0.250  0.250  0.250 [4 per cell]

## Properties
- V: 18.2 A^3/atom
- Energy above the most stable polymorph in this dataset: 760 meV per atom
- Energy of formation from the pure elements: 1.5905 eV per atom

=====

Record 13
## Li2IrRh (PBE)

Data for a geometry-optimized Li2IrRh structure.

a b c (Å): 4.217 4.217 5.996
angles (deg): 90.00 90.00 90.00
Space group I-4m2 (No. 119)
Asymmetric unit:
Li  0.000  0.000  0.000 [2 per cell]
Li  0.000  0.500  0.250 [2 per cell]
Ir  0.000  0.000  0.500 [2 per cell]
Rh  0.000  0.500  0.750 [2 per cell]

## Properties
- V: 13.3 A^3/atom
- Energy above the most stable polymorph in this dataset: 140 meV per atom
- Energy of formation from the pure elements: -0.0761 eV per atom

=====

Record 14
## KCu (PBE)

Data for a geometry-optimized KCu structure.

a b c (Å): 7.519 7.519 7.519
angles (deg): 90.00 90.00 90.00
Space group Fd-3m (No. 227, origin choice 2)
Asymmetric unit:
K  0.125  0.125  0.125 [8 per cell]
Cu  0.125  0.125  0.625 [8 per cell]

## Properties
- V: 26.6 A^3/atom
- Energy above the most stable polymorph in this dataset: 260 meV per atom
- Energy of formation from the pure elements: 0.5031 eV per atom

=====

Record 15
## LiTaAg2Se (PBE)

Data for a geometry-optimized LiTaAg2Se structure.

a b c (Å): 5.133 5.133 5.255
angles (deg): 90.00 90.00 90.00
Space group P4/mmm (No. 123)
Asymmetric unit:
Li  0.000  0.000  0.000 [1 per cell]
Ta  0.000  0.000  0.500 [1 per cell]
Ag  0.000  0.500  0.500 [2 per cell]
Se  0.500  0.500  0.000 [1 per cell]

## Properties
- V: 27.7 A^3/atom
- Uncorrected formation energy: 1.446 eV/atom

=====

Record 16
## MnFeBP2 (PBE)

Data for a geometry-optimized MnFeBP2 structure.

a b c (Å): 4.214 2.753 4.969
angles (deg): 90.00 114.91 90.00
Space group Pm (No. 6)
Asymmetric unit:
Mn  0.000  0.000  0.000 [1 per cell]
Fe  0.711  0.000  0.413 [1 per cell]
B  0.611  0.500  0.706 [1 per cell]
P  0.130  0.500  0.403 [1 per cell]
P  0.430  0.500  0.010 [1 per cell]

## Properties
- V: 10.5 A^3/atom
- Energy above the most stable polymorph in this dataset: 98 meV per atom
- Energy of formation from the pure elements: -0.1662 eV per atom

=====

Record 17
## ZnAuN2O (PBE)

Data for a geometry-optimized ZnAuN2O structure.

a b c (Å): 4.009 4.009 4.367
angles (deg): 90.00 90.00 90.00
Space group P4/mmm (No. 123)
Asymmetric unit:
Zn  0.000  0.000  0.000 [1 per cell]
Au  0.500  0.500  0.500 [1 per cell]
N  0.000  0.500  0.500 [2 per cell]
O  0.500  0.500  0.000 [1 per cell]

## Properties
- V: 14.0 A^3/atom
- Uncorrected formation energy: 1.648 eV/atom

=====

Record 18
## AcLaPtCl (PBE)

Data for a geometry-optimized AcLaPtCl structure.

a b c (Å): 4.3130 4.3130 23.6926
angles (deg): 90.00 90.00 120.00
Space group R3m (No. 160, hexagonal axes)
Asymmetric unit:
Ac  0.0000  0.0000  0.0000 [3 per cell]
La  0.0000  0.0000  0.8036 [3 per cell]
Pt  0.0000  0.0000  0.4052 [3 per cell]
Cl  0.0000  0.0000  0.2287 [3 per cell]

## Properties
- V: 31.8 A^3/atom
- Uncorrected formation energy: -1.413 eV/atom

=====

Record 19
## Ho2InIr (PBE)

Data for a geometry-optimized Ho2InIr structure.

a b c (Å): 3.512 3.512 7.500
angles (deg): 90.00 90.00 90.00
Space group P4/mmm (No. 123)
Asymmetric unit:
Ho  0.000  0.000  0.216 [2 per cell]
In  0.500  0.500  0.500 [1 per cell]
Ir  0.500  0.500  0.000 [1 per cell]

## Properties
- V: 23.1 A^3/atom
- Energy above the most stable polymorph in this dataset: 0 meV per atom
- Energy of formation from the pure elements: -0.6888 eV per atom

=====

Record 20
## Tb8AlSn2 (PBE)

Data for a geometry-optimized Tb8AlSn2 structure.

a b c (Å): 19.308 5.112 6.739
angles (deg): 90.00 104.60 90.00
Space group C2/m (No. 12)
Asymmetric unit:
Tb  0.018  0.000  0.275 [4 per cell]
Tb  0.091  0.500  0.972 [4 per cell]
Tb  0.155  0.500  0.498 [4 per cell]
Tb  0.215  0.000  0.819 [4 per cell]
Al  0.000  0.500  0.500 [2 per cell]
Sn  0.180  0.000  0.255 [4 per cell]

## Properties
- V: 29.3 A^3/atom
- Energy of formation from the pure elements: -0.3257 eV per atom